This record from Alexandria describes an optimized crystal structure of NiS2F. The functional is PBE with a Hubbard U.

Cell lengths 4.1229, 4.1229, 4.1229 Å; angles 60.00, 60.00, 60.00 degrees
Last column: nearest neighbours and their distance in Å.
Sites, in units of the cell vectors:
F: 0.0000 0.0000 0.0000  8 S 2.52
S: 0.2500 0.2500 0.2500  4 F 2.52, 4 Ni 2.52
S: 0.7500 0.7500 0.7500  4 F 2.52, 4 Ni 2.52
Ni: 0.5000 0.5000 0.5000  8 S 2.52

Values from the calculation:
Energy above the lowest structure with this stoichiometry   424 meV/atom
Calculated density   4.8 g/cm³
Total DFT energy (no corrections)   -2.87 eV per atom